# PBEsol InAg2Au, optimized geometry
# **Uncorrected energy**: -3.50 eV/atom
# **Energy of formation from the pure elements**: -0.122 eV per atom
# **Spin magnetization**: 0.000 μB/f.u.
data_InAg2Au
_chemical_formula_sum 'In1 Ag2 Au1'
_cell_length_a 4.0707
_cell_length_b 4.0707
_cell_length_c 5.1448
_cell_angle_alpha 113.30
_cell_angle_beta 113.30
_cell_angle_gamma 90.00
_space_group_name_H-M_alt 'P 1'
_space_group_IT_number 1
_space_group_name_Hall 'P 1'
loop_
_atom_site_label
_atom_site_type_symbol
_atom_site_fract_x
_atom_site_fract_y
_atom_site_fract_z
Ag1 Ag 0.7500 0.2500 0.5000
In1 In 0.0000 0.0000 0.0000
Ag2 Ag 0.2500 0.7500 0.5000
Au1 Au 0.5000 0.5000 0.0000

***

# PBEsol InAgAu2, optimized geometry
# **Uncorrected energy**: -3.67 eV/atom
# **Energy of formation from the pure elements**: -0.133 eV per atom
# **Spin magnetization**: 0.000 μB/f.u.
data_InAgAu2
_chemical_formula_sum 'In1 Ag1 Au2'
_cell_length_a 3.9213
_cell_length_b 4.2538
_cell_length_c 4.2538
_cell_angle_alpha 89.91
_cell_angle_beta 90.00
_cell_angle_gamma 90.00
_space_group_name_H-M_alt 'P 1'
_space_group_IT_number 1
_space_group_name_Hall 'P 1'
loop_
_atom_site_label
_atom_site_type_symbol
_atom_site_fract_x
_atom_site_fract_y
_atom_site_fract_z
In1 In 0.5000 0.0000 0.0000
Au1 Au 0.0000 0.5000 0.0000
Ag1 Ag 0.5000 0.5000 0.5000
Au2 Au 0.0000 0.0000 0.5000

***

# PBEsol InAg2Au, optimized geometry
# **Uncorrected energy**: -3.50 eV/atom
# **Energy of formation from the pure elements**: -0.119 eV per atom
# **Spin magnetization**: 0.000 μB/f.u.
data_InAg2Au
_chemical_formula_sum 'In1 Ag2 Au1'
_cell_length_a 4.0982
_cell_length_b 4.1690
_cell_length_c 5.0618
_cell_angle_alpha 114.32
_cell_angle_beta 113.88
_cell_angle_gamma 90.00
_space_group_name_H-M_alt 'P 1'
_space_group_IT_number 1
_space_group_name_Hall 'P 1'
loop_
_atom_site_label
_atom_site_type_symbol
_atom_site_fract_x
_atom_site_fract_y
_atom_site_fract_z
Au1 Au 0.5002 0.5002 0.0005
Ag1 Ag 0.7502 0.2502 0.5004
Ag2 Ag 0.9998 0.9998 0.9995
In1 In 0.2498 0.7498 0.4996

***

# PBEsol InAgAu2, optimized geometry
# **Uncorrected energy**: -3.62 eV/atom
# **Energy of formation from the pure elements**: -0.084 eV per atom
# **Spin magnetization**: 0.000 μB/f.u.
data_InAgAu2
_chemical_formula_sum 'In1 Ag1 Au2'
_cell_length_a 3.2058
_cell_length_b 3.8394
_cell_length_c 5.8358
_cell_angle_alpha 90.00
_cell_angle_beta 90.00
_cell_angle_gamma 90.00
_space_group_name_H-M_alt 'P 1'
_space_group_IT_number 1
_space_group_name_Hall 'P 1'
loop_
_atom_site_label
_atom_site_type_symbol
_atom_site_fract_x
_atom_site_fract_y
_atom_site_fract_z
Au1 Au 0.5000 0.5000 0.2505
In1 In 0.0000 0.0000 0.4959
Ag1 Ag 0.5000 0.5000 0.7598
Au2 Au 0.0000 0.0000 0.9939

***

# PBEsol InAg2Au2, optimized geometry
# **Uncorrected energy**: -3.53 eV/atom
# **Energy of formation from the pure elements**: -0.043 eV per atom
# **Spin magnetization**: 0.000 μB/f.u.
data_InAg2Au2
_chemical_formula_sum 'In2 Ag4 Au4'
_cell_length_a 3.5472
_cell_length_b 7.2472
_cell_length_c 7.2472
_cell_angle_alpha 90.00
_cell_angle_beta 90.00
_cell_angle_gamma 90.00
_space_group_name_H-M_alt 'P 1'
_space_group_IT_number 1
_space_group_name_Hall 'P 1'
loop_
_atom_site_label
_atom_site_type_symbol
_atom_site_fract_x
_atom_site_fract_y
_atom_site_fract_z
In1 In 0.0000 0.5000 0.5000
Au1 Au 0.0000 0.3607 0.8607
Ag1 Ag 0.5000 0.8420 0.3420
In2 In 0.0000 0.0000 0.0000
Au2 Au 0.0000 0.8607 0.6393
Au3 Au 0.0000 0.6393 0.1393
Ag2 Ag 0.5000 0.3420 0.1580
Au4 Au 0.0000 0.1393 0.3607
Ag3 Ag 0.5000 0.6580 0.8420
Ag4 Ag 0.5000 0.1580 0.6580

***

# PBEsol InAgAu2, optimized geometry
# **Uncorrected energy**: -3.64 eV/atom
# **Energy of formation from the pure elements**: -0.100 eV per atom
# **Spin magnetization**: 0.000 μB/f.u.
data_InAgAu2
_chemical_formula_sum 'In1 Ag1 Au2'
_cell_length_a 4.6509
_cell_length_b 4.6509
_cell_length_c 4.6509
_cell_angle_alpha 60.00
_cell_angle_beta 60.00
_cell_angle_gamma 60.00
_space_group_name_H-M_alt 'P 1'
_space_group_IT_number 1
_space_group_name_Hall 'P 1'
loop_
_atom_site_label
_atom_site_type_symbol
_atom_site_fract_x
_atom_site_fract_y
_atom_site_fract_z
Au1 Au 0.0000 0.0000 0.0000
Ag1 Ag 0.5000 0.5000 0.5000
Au2 Au 0.7500 0.7500 0.7500
In1 In 0.2500 0.2500 0.2500

***

# PBEsol InAg2Au, optimized geometry
# **Uncorrected energy**: -3.41 eV/atom
# **Energy of formation from the pure elements**: -0.026 eV per atom
# **Spin magnetization**: 0.000 μB/f.u.
data_InAg2Au
_chemical_formula_sum 'In1 Ag2 Au1'
_cell_length_a 3.0578
_cell_length_b 3.0578
_cell_length_c 7.6783
_cell_angle_alpha 90.00
_cell_angle_beta 90.00
_cell_angle_gamma 90.00
_space_group_name_H-M_alt 'P 1'
_space_group_IT_number 1
_space_group_name_Hall 'P 1'
loop_
_atom_site_label
_atom_site_type_symbol
_atom_site_fract_x
_atom_site_fract_y
_atom_site_fract_z
Au1 Au 0.5000 0.5000 0.0000
Ag1 Ag 0.0000 0.0000 0.2396
In1 In 0.5000 0.5000 0.5000
Ag2 Ag 0.0000 0.0000 0.7604

***

# PBEsol InAgAu2, optimized geometry
# **Uncorrected energy**: -3.62 eV/atom
# **Energy of formation from the pure elements**: -0.085 eV per atom
# **Spin magnetization**: 0.000 μB/f.u.
data_InAgAu2
_chemical_formula_sum 'In1 Ag1 Au2'
_cell_length_a 3.5472
_cell_length_b 3.5472
_cell_length_c 5.7697
_cell_angle_alpha 90.00
_cell_angle_beta 90.00
_cell_angle_gamma 90.00
_space_group_name_H-M_alt 'P 1'
_space_group_IT_number 1
_space_group_name_Hall 'P 1'
loop_
_atom_site_label
_atom_site_type_symbol
_atom_site_fract_x
_atom_site_fract_y
_atom_site_fract_z
Au1 Au 0.0000 0.0000 0.9937
Au2 Au 0.5000 0.5000 0.2509
In1 In 0.0000 0.0000 0.4954
Ag1 Ag 0.5000 0.5000 0.7600

***

# PBEsol InAg2Au, optimized geometry
# **Uncorrected energy**: -3.45 eV/atom
# **Energy of formation from the pure elements**: -0.070 eV per atom
# **Spin magnetization**: 0.000 μB/f.u.
data_InAg2Au
_chemical_formula_sum 'In1 Ag2 Au1'
_cell_length_a 3.4477
_cell_length_b 3.4477
_cell_length_c 6.0332
_cell_angle_alpha 90.00
_cell_angle_beta 90.00
_cell_angle_gamma 90.00
_space_group_name_H-M_alt 'P 1'
_space_group_IT_number 1
_space_group_name_Hall 'P 1'
loop_
_atom_site_label
_atom_site_type_symbol
_atom_site_fract_x
_atom_site_fract_y
_atom_site_fract_z
In1 In 0.5000 0.5000 0.7474
Ag1 Ag 0.0000 0.0000 0.0102
Au1 Au 0.0000 0.0000 0.4955
Ag2 Ag 0.5000 0.5000 0.2468

***

# PBEsol InAg2Au, optimized geometry
# **Uncorrected energy**: -3.45 eV/atom
# **Energy of formation from the pure elements**: -0.067 eV per atom
# **Spin magnetization**: 0.000 μB/f.u.
data_InAg2Au
_chemical_formula_sum 'In1 Ag2 Au1'
_cell_length_a 2.9814
_cell_length_b 4.1060
_cell_length_c 5.8201
_cell_angle_alpha 90.00
_cell_angle_beta 90.00
_cell_angle_gamma 90.00
_space_group_name_H-M_alt 'P 1'
_space_group_IT_number 1
_space_group_name_Hall 'P 1'
loop_
_atom_site_label
_atom_site_type_symbol
_atom_site_fract_x
_atom_site_fract_y
_atom_site_fract_z
In1 In 0.5000 0.5000 0.5000
Ag1 Ag 0.0000 0.0000 0.7563
Au1 Au 0.5000 0.5000 0.0000
Ag2 Ag 0.0000 0.0000 0.2437

***

# PBEsol In2AgAu, optimized geometry
# **Uncorrected energy**: -3.27 eV/atom
# **Energy of formation from the pure elements**: 0.032 eV per atom
# **Spin magnetization**: 0.000 μB/f.u.
data_In2AgAu
_chemical_formula_sum 'In2 Ag1 Au1'
_cell_length_a 4.8490
_cell_length_b 4.8490
_cell_length_c 4.8490
_cell_angle_alpha 60.00
_cell_angle_beta 60.00
_cell_angle_gamma 60.00
_space_group_name_H-M_alt 'P 1'
_space_group_IT_number 1
_space_group_name_Hall 'P 1'
loop_
_atom_site_label
_atom_site_type_symbol
_atom_site_fract_x
_atom_site_fract_y
_atom_site_fract_z
Au1 Au 0.2500 0.2500 0.2500
Ag1 Ag 0.5000 0.5000 0.5000
In1 In 0.0000 0.0000 0.0000
In2 In 0.7500 0.7500 0.7500

***

# PBEsol InAgAu2, optimized geometry
# **Uncorrected energy**: -3.55 eV/atom
# **Energy of formation from the pure elements**: -0.012 eV per atom
# **Spin magnetization**: 0.000 μB/f.u.
data_InAgAu2
_chemical_formula_sum 'In1 Ag1 Au2'
_cell_length_a 3.0190
_cell_length_b 3.0190
_cell_length_c 9.3306
_cell_angle_alpha 80.69
_cell_angle_beta 80.69
_cell_angle_gamma 60.00
_space_group_name_H-M_alt 'P 1'
_space_group_IT_number 1
_space_group_name_Hall 'P 1'
loop_
_atom_site_label
_atom_site_type_symbol
_atom_site_fract_x
_atom_site_fract_y
_atom_site_fract_z
Au1 Au 0.2519 0.2519 0.2443
In1 In 0.5000 0.5000 0.5000
Ag1 Ag 0.0000 0.0000 0.0000
Au2 Au 0.7481 0.7481 0.7557